Record 1
Below is a geometry-optimized Na3LaTl3 structure, with properties calculated at the PBE-GGA level.

## Properties
- DFT formation energy: 413 meV/atom

```
Na3LaTl3
1.0
8.059 0.000 0.000
0.000 8.059 0.000
0.000 0.000 8.059
Na La Tl
6 2 6
Direct
0.000 0.250 0.500 Na
0.000 0.750 0.500 Na
0.250 0.500 0.000 Na
0.500 0.000 0.250 Na
0.500 0.000 0.750 Na
0.750 0.500 0.000 Na
0.000 0.000 0.000 La
0.500 0.500 0.500 La
0.000 0.500 0.250 Tl
0.000 0.500 0.750 Tl
0.250 0.000 0.500 Tl
0.500 0.250 0.000 Tl
0.500 0.750 0.000 Tl
0.750 0.000 0.500 Tl
```

Record 2
Below is a geometry-optimized Er8PbC4 structure, with properties calculated at the PBE-GGA level.

## Properties
- DFT formation energy: -269 meV/atom
- Offset from the most stable computed form: 80.7 meV per atom

```
Er8PbC4
1.0
3.595 2.076 7.117
-3.595 2.076 7.117
0.000 -4.152 7.117
Er Pb C
8 1 4
Direct
0.225 0.728 0.728 Er
0.230 0.230 0.230 Er
0.272 0.272 0.775 Er
0.272 0.775 0.272 Er
0.728 0.225 0.728 Er
0.728 0.728 0.225 Er
0.770 0.770 0.770 Er
0.775 0.272 0.272 Er
0.000 0.000 0.000 Pb
0.000 0.000 0.500 C
0.000 0.500 0.000 C
0.500 0.000 0.000 C
0.500 0.500 0.500 C
```

Record 3
Below is a geometry-optimized HoScGa structure, with properties calculated at the PBE-GGA level.

## Properties
- DFT formation energy: -250 meV/atom
- Offset from the most stable computed form: 188.2 meV per atom

```
HoScGa
1.0
6.788 0.000 0.000
0.000 6.788 0.000
0.000 0.000 6.788
Ho Sc Ga
4 4 4
Direct
0.000 0.000 0.000 Ho
0.000 0.500 0.500 Ho
0.500 0.000 0.500 Ho
0.500 0.500 0.000 Ho
0.000 0.000 0.500 Sc
0.000 0.500 0.000 Sc
0.500 0.000 0.000 Sc
0.500 0.500 0.500 Sc
0.250 0.250 0.250 Ga
0.250 0.750 0.750 Ga
0.750 0.250 0.750 Ga
0.750 0.750 0.250 Ga
```

Record 4
Below is a geometry-optimized BaTl2Cl structure, with properties calculated at the PBE-GGA level.

## Properties
- Formation energy from raw total energies: -34.0 kJ/mol of atoms
- Offset from the most stable computed form: 516.3 meV per atom

```
BaTl2Cl
1.0
4.127 0.000 0.000
-2.063 3.574 0.000
0.000 0.000 30.159
Ba Tl Cl
3 6 3
Direct
0.000 0.000 0.000 Ba
0.333 0.667 0.667 Ba
0.667 0.333 0.333 Ba
0.000 0.000 0.236 Tl
0.000 0.000 0.764 Tl
0.333 0.667 0.430 Tl
0.333 0.667 0.903 Tl
0.667 0.333 0.097 Tl
0.667 0.333 0.570 Tl
0.000 0.000 0.500 Cl
0.333 0.667 0.167 Cl
0.667 0.333 0.833 Cl
```

Record 5
Below is a geometry-optimized Pa4Si6Pd5 structure, with properties calculated at the PBE-GGA level.

## Properties
- Formation energy from raw total energies: -59.3 kJ/mol of atoms

```
Pa4Si6Pd5
1.0
2.067 -9.291 0.000
2.067 9.291 0.000
0.000 0.000 14.853
Pa Si Pd
8 12 10
Direct
0.012 0.988 0.500 Pa
0.031 0.969 0.764 Pa
0.165 0.835 0.306 Pa
0.181 0.819 0.938 Pa
0.819 0.181 0.438 Pa
0.835 0.165 0.806 Pa
0.969 0.031 0.264 Pa
0.988 0.012 0.000 Pa
0.116 0.884 0.118 Si
0.221 0.779 0.489 Si
0.234 0.766 0.754 Si
0.421 0.579 0.126 Si
0.430 0.570 0.401 Si
0.444 0.556 0.858 Si
0.556 0.444 0.358 Si
0.570 0.430 0.901 Si
0.579 0.421 0.626 Si
0.766 0.234 0.254 Si
0.779 0.221 0.989 Si
0.884 0.116 0.618 Si
0.151 0.849 0.626 Pd
0.306 0.694 0.617 Pd
0.343 0.657 0.271 Pd
0.355 0.645 0.979 Pd
0.450 0.550 0.672 Pd
0.550 0.450 0.172 Pd
0.645 0.355 0.479 Pd
0.657 0.343 0.771 Pd
0.694 0.306 0.117 Pd
0.849 0.151 0.126 Pd
```

Record 6
Below is a geometry-optimized Li2SiRu structure, with properties calculated at the PBE-GGA level.

## Properties
- Formation energy from raw total energies: -27.3 kJ/mol of atoms

```
Li2SiRu
1.0
3.075 0.000 0.000
0.000 3.123 0.000
0.000 0.000 5.770
Li Si Ru
2 1 1
Direct
0.000 0.000 0.000 Li
0.500 0.500 0.270 Li
0.500 0.500 0.718 Si
0.000 0.000 0.537 Ru
```

Looking at calculated volume for the records above, in order, we have 523.5 318.7 312.8 444.9 570.6 55.4 Å³/cell.